The following is a PBE calculation of a geometry-optimized Dy3Y13 structure, from the Alexandria database.

a = 10.062 Å, b = 7.135 Å, c = 7.135 Å
α = 90.00°, β = 90.00°, γ = 90.00°
Fractional coordinates of all 16 atoms:
Dy 0.000 0.000 0.000
Dy 0.249 0.249 0.249
Dy 0.751 0.249 0.249
Y 0.000 0.000 0.499
Y 0.000 0.499 0.000
Y 0.000 0.499 0.499
Y 0.250 0.249 0.750
Y 0.250 0.750 0.249
Y 0.250 0.750 0.750
Y 0.500 0.000 0.000
Y 0.500 0.000 0.499
Y 0.500 0.499 0.000
Y 0.500 0.499 0.499
Y 0.750 0.249 0.750
Y 0.750 0.750 0.249
Y 0.750 0.750 0.750

Calculated values
calculated formation energy = 2.0 kJ per mole of atoms
excess energy over the best structure of this formula in the dataset = 20 meV/atom


The following is a PBE calculation of a geometry-optimized DyY2 structure, from the Alexandria database.

a = 7.982 Å, b = 7.982 Å, c = 7.982 Å
α = 154.25°, β = 154.25°, γ = 36.74°
Fractional coordinates of all 3 atoms:
Dy 0.000 0.000 0.000
Y 0.334 0.334 0.000
Y 0.666 0.666 0.000

Calculated values
calculated formation energy = 2.2 kJ per mole of atoms
excess energy over the best structure of this formula in the dataset = 24 meV/atom


The following is a PBE calculation of a geometry-optimized DyY3 structure, from the Alexandria database.

a = 7.276 Å, b = 7.276 Å, c = 5.667 Å
α = 90.00°, β = 90.00°, γ = 120.00°
Fractional coordinates of all 8 atoms:
Dy 0.333 0.667 0.250
Dy 0.667 0.333 0.750
Y 0.167 0.334 0.750
Y 0.167 0.833 0.750
Y 0.334 0.167 0.250
Y 0.666 0.833 0.750
Y 0.833 0.167 0.250
Y 0.833 0.666 0.250

Calculated values
calculated formation energy = 0.4 kJ per mole of atoms
excess energy over the best structure of this formula in the dataset = 4 meV/atom


The following is a PBE calculation of a geometry-optimized DyY3 structure, from the Alexandria database.

a = 6.729 Å, b = 6.729 Å, c = 6.729 Å
α = 148.58°, β = 65.52°, γ = 124.13°
Fractional coordinates of all 4 atoms:
Dy 0.000 0.000 0.000
Y 0.417 0.668 0.749
Y 0.501 0.001 0.500
Y 0.919 0.668 0.251

Calculated values
calculated formation energy = 0.1 kJ per mole of atoms
excess energy over the best structure of this formula in the dataset = 1 meV/atom


The following is a PBE calculation of a geometry-optimized DyY3 structure, from the Alexandria database.

a = 5.042 Å, b = 5.042 Å, c = 5.042 Å
α = 90.00°, β = 90.00°, γ = 90.00°
Fractional coordinates of all 4 atoms:
Dy 0.000 0.000 0.000
Y 0.000 0.500 0.500
Y 0.500 0.000 0.500
Y 0.500 0.500 0.000

Calculated values
calculated formation energy = 2.4 kJ per mole of atoms
excess energy over the best structure of this formula in the dataset = 24 meV/atom


The following is a PBE calculation of a geometry-optimized Dy5Y6 structure, from the Alexandria database.

a = 7.927 Å, b = 7.927 Å, c = 6.315 Å
α = 100.00°, β = 100.00°, γ = 109.12°
Fractional coordinates of all 11 atoms:
Dy 0.000 0.000 0.000
Dy 0.127 0.873 0.500
Dy 0.259 0.741 0.000
Dy 0.741 0.259 0.000
Dy 0.873 0.127 0.500
Y 0.185 0.454 0.332
Y 0.332 0.332 0.817
Y 0.454 0.185 0.332
Y 0.546 0.815 0.668
Y 0.668 0.668 0.183
Y 0.815 0.546 0.668

Calculated values
calculated formation energy = 13.4 kJ per mole of atoms